Entry 1:
! AgPbNO | OQMD | PBE | optimized geometry; values from VASP
! Space-group type: P4/nmm (129)
! Energy above the lowest structure with this stoichiometry: 64 meV per atom
! DFT total energy: -36.92 eV for the cell shown
&SYSTEM
  ibrav = 0, nat = 8, ntyp = 4
/
ATOMIC_SPECIES
Ag 107.87 Ag.upf
Pb 207.20 Pb.upf
N 14.01 N.upf
O 16.00 O.upf
ATOMIC_POSITIONS crystal
Ag 0.250 0.750 0.000
Ag 0.750 0.250 0.000
Pb 0.250 0.250 0.364
Pb 0.750 0.750 0.636
N 0.250 0.250 0.931
N 0.750 0.750 0.069
O 0.250 0.750 0.500
O 0.750 0.250 0.500
CELL_PARAMETERS angstrom
4.133 0.000 0.000
0.000 4.133 0.000
0.000 0.000 8.428



Entry 2:
! DySiAg | OQMD | PBE | optimized geometry; values from VASP
! Space-group type: Pnma (62)
! Magnetic moment: 0.00 μB/f.u.
! DFT total energy: -58.40 eV for the cell shown
&SYSTEM
  ibrav = 0, nat = 12, ntyp = 3
/
ATOMIC_SPECIES
Dy 162.50 Dy.upf
Si 28.09 Si.upf
Ag 107.87 Ag.upf
ATOMIC_POSITIONS crystal
Dy 0.023 0.250 0.185
Dy 0.477 0.750 0.685
Dy 0.523 0.250 0.315
Dy 0.977 0.750 0.815
Si 0.243 0.750 0.379
Si 0.257 0.250 0.879
Si 0.743 0.750 0.121
Si 0.757 0.250 0.621
Ag 0.147 0.250 0.561
Ag 0.353 0.750 0.061
Ag 0.647 0.250 0.939
Ag 0.853 0.750 0.439
CELL_PARAMETERS angstrom
7.095 0.000 0.000
0.000 4.211 0.000
0.000 0.000 8.033



Entry 3:
! Li2Cd2Ga2CuPd | OQMD | PBE | optimized geometry; values from VASP
! Space-group type: P-4m2 (115)
! DFT total energy: -23.05 eV for the cell shown
&SYSTEM
  ibrav = 0, nat = 8, ntyp = 5
/
ATOMIC_SPECIES
Li 6.94 Li.upf
Cd 112.41 Cd.upf
Ga 69.72 Ga.upf
Cu 63.55 Cu.upf
Pd 106.42 Pd.upf
ATOMIC_POSITIONS crystal
Li 0.000 0.000 0.000
Li 0.500 0.500 0.500
Cd 0.000 0.500 0.240
Cd 0.500 0.000 0.760
Ga 0.000 0.500 0.749
Ga 0.500 0.000 0.251
Cu 0.500 0.500 0.000
Pd 0.000 0.000 0.500
CELL_PARAMETERS angstrom
4.451 0.000 0.000
0.000 4.451 0.000
0.000 0.000 6.278



Entry 4:
! Rb4GePtSe6 | OQMD | PBE | optimized geometry; values from VASP
! Space-group type: P1 (1)
! Magnetic moment: 0.00 μB/f.u.
! DFT total energy: -44.27 eV for the cell shown
&SYSTEM
  ibrav = 0, nat = 12, ntyp = 4
/
ATOMIC_SPECIES
Rb 85.47 Rb.upf
Ge 72.64 Ge.upf
Pt 195.08 Pt.upf
Se 78.96 Se.upf
ATOMIC_POSITIONS crystal
Rb 0.000 0.000 0.000
Rb 0.190 0.379 0.243
Rb 0.423 0.719 0.446
Rb 0.762 0.681 0.789
Ge 0.454 0.260 0.830
Pt 0.697 0.149 0.466
Se 0.276 0.589 0.850
Se 0.344 0.204 0.641
Se 0.481 0.997 0.043
Se 0.723 0.346 0.212
Se 0.806 0.215 0.645
Se 0.893 0.846 0.381
CELL_PARAMETERS angstrom
7.019 0.000 0.000
3.426 6.908 0.000
3.422 2.266 8.950